No. 1
# PBE-GGA AcDyErTm, optimized geometry
# magnetic moment: 0.0 μB per formula unit
# formation enthalpy at 0 K: 0.1216 eV/atom
# symmetry: No. 216
# calculated total energy: -4.315 eV/atom
# energy above the lowest structure with this stoichiometry: 43 meV per atom
data_AcDyErTm
_cell_length_a 5.786
_cell_length_b 5.786
_cell_length_c 5.786
_cell_angle_alpha 60.00
_cell_angle_beta 60.00
_cell_angle_gamma 60.00
_symmetry_space_group_name_H-M 'P 1'
_symmetry_Int_Tables_number 1
loop_
_symmetry_equiv_pos_as_xyz
'x,y,z'
loop_
_atom_site_label
_atom_site_fract_x
_atom_site_fract_y
_atom_site_fract_z
_atom_site_occupancy
Tm1 0.500 0.500 0.500 1
Dy1 0.750 0.750 0.750 1
Er1 0.000 0.000 0.000 1
Ac1 0.250 0.250 0.250 1

No. 2
# PBE-GGA Be2TlCd, optimized geometry
# magnetic moment: 0.0 μB per formula unit
# formation enthalpy at 0 K: 0.5972 eV/atom
# symmetry: No. 160
# calculated total energy: -2.086 eV/atom
# energy above the lowest structure with this stoichiometry: 133 meV per atom
data_Be2TlCd
_cell_length_a 8.388
_cell_length_b 8.388
_cell_length_c 8.388
_cell_angle_alpha 21.83
_cell_angle_beta 21.83
_cell_angle_gamma 21.83
_symmetry_space_group_name_H-M 'P 1'
_symmetry_Int_Tables_number 1
loop_
_symmetry_equiv_pos_as_xyz
'x,y,z'
loop_
_atom_site_label
_atom_site_fract_x
_atom_site_fract_y
_atom_site_fract_z
_atom_site_occupancy
Cd1 0.517 0.517 0.517 1
Be1 0.984 0.984 0.984 1
Tl1 0.738 0.738 0.738 1
Be2 0.262 0.262 0.262 1